(1)
Density functional theory data (PBE) for a geometry-optimized LiFe2PbC structure.

Calculated values
The calculation puts the total energy at -21.34 eV per formula unit. As for the space group: P4/mmm. As for the crystal system: tetragonal. The calculation puts the density at 5.0 Mg/m³.

Cell and atoms, written as POSCAR:
```
LiFe2PbC
1.0
4.992 0.000 0.000
0.000 4.513 0.000
0.000 0.000 4.992
Pb Fe Li C
1 2 1 1
direct
0.000 0.000 0.000
0.000 0.000 0.500
0.500 0.000 0.000
0.500 0.500 0.500
0.000 0.500 0.000
```

---

(2)
Density functional theory data (PBE) for a geometry-optimized YThAgPd structure.

Calculated values
The calculation puts the total energy at -23.64 eV per formula unit. As for the space group: F-43m. As for the crystal system: cubic. The calculation puts the density at 9.2 Mg/m³.

Cell and atoms, written as POSCAR:
```
YThAgPd
1.0
-2.087 -1.876 -4.322
-2.542 -4.482 0.101
-5.121 -0.071 -0.568
Y Pd Th Ag
1 1 1 1
direct
0.250 0.250 0.250
0.500 0.500 0.500
0.750 0.750 0.750
0.000 0.000 0.000
```

---

(3)
Density functional theory data (PBE) for a geometry-optimized RbCoRu structure.

Calculated values
The calculation puts the total energy at -14.38 eV per formula unit. As for the space group: Pnma. As for the crystal system: orthorhombic. The calculation puts the density at 5.0 Mg/m³. For the energy above the lowest structure with this stoichiometry, the calculation gives 357 meV/atom.

Cell and atoms, written as POSCAR:
```
RbCoRu
1.0
-2.688 3.099 6.942
3.219 -1.423 1.882
4.972 8.673 -1.946
Rb Ru Co
4 4 4
direct
0.998 0.250 0.815
0.502 0.750 0.315
0.498 0.250 0.685
0.002 0.750 0.185
0.362 0.750 0.952
0.638 0.250 0.048
0.862 0.750 0.548
0.138 0.250 0.452
0.359 0.250 0.054
0.859 0.250 0.446
0.641 0.750 0.946
0.141 0.750 0.554
```

---

(4)
Density functional theory data (PBE) for a geometry-optimized BeCdPt3 structure.

Calculated values
The calculation puts the total energy at -24.46 eV per formula unit. As for the space group: P2_1/m. As for the crystal system: monoclinic. The calculation puts the density at 15.1 Mg/m³. For the energy above the lowest structure with this stoichiometry, the calculation gives 99 meV/atom.

Cell and atoms, written as POSCAR:
```
BeCdPt3
1.0
-2.141 0.672 2.902
0.279 -5.303 1.433
5.182 1.822 5.732
Pt Cd Be
6 2 2
direct
0.491 0.250 0.018
0.111 0.499 0.777
0.111 0.001 0.777
0.889 0.999 0.223
0.889 0.501 0.223
0.509 0.750 0.982
0.277 0.250 0.446
0.723 0.750 0.554
0.636 0.250 0.727
0.364 0.750 0.273
```

---

(5)
Density functional theory data (PBE) for a geometry-optimized SrNdNiRh structure.

Calculated values
The calculation puts the total energy at -20.31 eV per formula unit. As for the space group: F-43m. As for the crystal system: cubic. The calculation puts the density at 7.2 Mg/m³.

Cell and atoms, written as POSCAR:
```
SrNdNiRh
1.0
5.044 0.000 0.000
2.522 4.369 0.000
2.522 1.456 4.119
Sr Ni Nd Rh
1 1 1 1
direct
0.500 0.500 0.500
0.750 0.750 0.750
0.000 0.000 0.000
0.250 0.250 0.250
```

---

(6)
Density functional theory data (PBE) for a geometry-optimized La12Tm7Pu structure.

Calculated values
The calculation puts the total energy at -100.95 eV per formula unit. As for the space group: R-3m. As for the crystal system: trigonal. The calculation puts the density at 7.4 Mg/m³.

Cell and atoms, written as POSCAR:
```
La12Tm7Pu
1.0
6.234 0.000 -1.283
-3.207 9.706 -5.061
0.181 0.000 11.405
La Tm Pu
12 7 1
direct
0.557 0.646 0.000
0.500 0.593 0.407
0.443 0.354 0.000
0.557 0.000 0.645
0.093 0.593 0.187
0.089 0.645 0.646
0.094 0.187 0.593
0.500 0.407 0.593
0.443 0.000 0.355
0.906 0.813 0.407
0.907 0.407 0.813
0.911 0.355 0.354
0.500 0.000 0.000
0.896 0.241 0.000
0.655 0.759 0.759
0.345 0.241 0.241
0.104 0.759 0.000
0.896 0.000 0.241
0.104 0.000 0.759
0.000 0.000 0.000
```

---

(7)
Density functional theory data (PBE) for a geometry-optimized PuTe4Pd6 structure.

Calculated values
The calculation puts the total energy at -62.74 eV per formula unit. As for the space group: I-42m. As for the crystal system: tetragonal. The calculation puts the density at 9.6 Mg/m³. Its raw formation energy is -0.43 eV/atom.

Cell and atoms, written as POSCAR:
```
PuTe4Pd6
1.0
7.037 -0.257 -0.378
-3.482 6.121 0.378
-3.482 -1.899 5.832
Te Pd Pu
4 6 1
direct
0.000 0.124 0.579
0.000 0.579 0.124
0.455 0.876 0.876
0.545 0.421 0.421
0.000 0.459 0.772
0.687 0.228 0.228
0.500 0.000 0.500
0.000 0.772 0.459
0.313 0.541 0.541
0.500 0.500 0.000
0.000 0.000 0.000
```

---

(8)
Density functional theory data (PBE) for a geometry-optimized Er3Si3Pd structure.

Calculated values
The calculation puts the total energy at -41.52 eV per formula unit. As for the space group: C2/m. As for the crystal system: monoclinic. The calculation puts the density at 8.2 Mg/m³. Its raw formation energy is -0.91 eV/atom.

Cell and atoms, written as POSCAR:
```
Er3Si3Pd
1.0
-3.139 -1.669 -2.282
1.271 -5.146 -1.894
-6.208 -6.391 9.305
Er Si Pd
6 6 2
direct
0.258 0.258 0.225
0.396 0.285 0.923
0.526 0.324 0.624
0.742 0.742 0.775
0.604 0.715 0.077
0.474 0.676 0.376
0.877 0.699 0.546
0.964 0.841 0.230
0.036 0.159 0.770
0.113 0.850 0.925
0.887 0.150 0.075
0.123 0.301 0.454
0.756 0.086 0.403
0.244 0.914 0.597
```